TlSn2Te3 after structural relaxation, computed with PBE-GGA.

## Properties
Energy: -3.53 eV/atom

```
data_TlSn2Te3
_chemical_formula_sum 'Tl2 Sn4 Te6'
_symmetry_space_group_name_H-M 'P m c 21'
_symmetry_Int_Tables_number 26
_symmetry_space_group_name_Hall 'P 2c -2'
_cell_length_a 4.2332
_cell_length_b 12.1433
_cell_length_c 8.0540
_cell_angle_alpha 90.00
_cell_angle_beta 90.00
_cell_angle_gamma 90.00
loop_
_atom_site_label
_atom_site_fract_x
_atom_site_fract_y
_atom_site_fract_z
Tl1 0.0000 0.1419 0.0000
Sn1 0.0000 0.1931 0.4936
Sn2 0.5000 0.4949 0.5092
Te1 0.0000 0.3847 0.7218
Te2 0.5000 0.0628 0.6764
Te3 0.5000 0.3006 0.2504
```